Model 1:
Computed, not measured: AlBiBr2 after structural relaxation at the PBE-GGA level of DFT.

Properties
The value obtained for the total magnetization is 0.000 μB/atom.

Cell lengths 7.646, 7.646, 11.030 Å; angles 90.00, 90.00, 90.00 degrees
Space group I-42d (No. 122)
One atom of each set of equivalent atoms:
Al  0.000  0.000  0.000 [4 per cell]
Bi  0.000  0.000  0.500 [4 per cell]
Br  0.107  0.250  0.125 [8 per cell]



Model 2:
Computed, not measured: AlBiBr2 after structural relaxation at the PBE-GGA level of DFT.

Properties
The value obtained for the total magnetization is 0.000 μB/atom.

Cell lengths 7.599, 7.599, 7.599 Å; angles 90.00, 90.00, 90.00 degrees
Space group Fm-3m (No. 225)
One atom of each set of equivalent atoms:
Al  0.000  0.000  0.000 [4 per cell]
Bi  0.000  0.000  0.500 [4 per cell]
Br  0.250  0.250  0.250 [8 per cell]



Which of them is the least stable? Correct choice: model 1.



Model 1:
Computed, not measured: Al2BiC2 after structural relaxation at the PBE-GGA level of DFT.

Properties
The value obtained for the total magnetization is 0.000 μB/atom.

Cell lengths 4.003, 4.003, 10.910 Å; angles 90.00, 90.00, 90.00 degrees
Space group I4/mmm (No. 139)
One atom of each set of equivalent atoms:
Al  0.000  0.000  0.222 [4 per cell]
Bi  0.000  0.000  0.500 [2 per cell]
C  0.000  0.500  0.250 [4 per cell]



Model 2:
Computed, not measured: Al2BiC2 after structural relaxation at the PBE-GGA level of DFT.

Properties
The value obtained for the total magnetization is 0.000 μB/atom.

Cell lengths 7.567, 7.567, 3.199 Å; angles 90.00, 90.00, 90.00 degrees
Space group P4/mbm (No. 127)
One atom of each set of equivalent atoms:
Al  0.141  0.359  0.000 [4 per cell]
Bi  0.000  0.000  0.000 [2 per cell]
C  0.062  0.562  0.500 [4 per cell]



Which of them is the least stable? Correct choice: model 1.



Model 1:
Computed, not measured: AlBiC2 after structural relaxation at the PBE-GGA level of DFT.

Properties
The value obtained for the total magnetization is 0.000 μB/atom.

Cell lengths 4.967, 4.967, 10.050 Å; angles 90.00, 90.00, 90.00 degrees
Space group I-42d (No. 122)
One atom of each set of equivalent atoms:
Al  0.000  0.000  0.000 [4 per cell]
Bi  0.000  0.000  0.500 [4 per cell]
C  0.207  0.250  0.125 [8 per cell]



Model 2:
Computed, not measured: AlBiC2 after structural relaxation at the PBE-GGA level of DFT.

Properties
The value obtained for the total magnetization is 0.000 μB/atom.

Cell lengths 6.067, 6.067, 6.067 Å; angles 90.00, 90.00, 90.00 degrees
Space group Fm-3m (No. 225)
One atom of each set of equivalent atoms:
Al  0.000  0.000  0.000 [4 per cell]
Bi  0.000  0.000  0.500 [4 per cell]
C  0.250  0.250  0.250 [8 per cell]



Which of them is the least stable? Correct choice: model 2.



Model 1:
Computed, not measured: Ca2AlBi2 after structural relaxation at the PBE-GGA level of DFT.

Properties
The value obtained for the total magnetization is 0.000 μB/atom.

Cell lengths 9.344, 9.344, 3.609 Å; angles 90.00, 90.00, 90.00 degrees
Space group P4/mbm (No. 127)
One atom of each set of equivalent atoms:
Ca  0.136  0.364  0.000 [4 per cell]
Al  0.000  0.000  0.000 [2 per cell]
Bi  0.166  0.666  0.500 [4 per cell]



Model 2:
Computed, not measured: Ca2AlBi2 after structural relaxation at the PBE-GGA level of DFT.

Properties
The value obtained for the total magnetization is 0.000 μB/atom.

Cell lengths 8.113, 8.113, 4.616 Å; angles 90.00, 90.00, 90.00 degrees
Space group P4/mbm (No. 127)
One atom of each set of equivalent atoms:
Ca  0.166  0.334  0.000 [4 per cell]
Al  0.000  0.000  0.500 [2 per cell]
Bi  0.141  0.641  0.500 [4 per cell]



Which of them is the least stable? Correct choice: model 1.



Model 1:
Computed, not measured: CaAl2Bi2 after structural relaxation at the PBE-GGA level of DFT.

Properties
The value obtained for the total magnetization is 0.000 μB/atom.

Cell lengths 8.183, 8.183, 3.978 Å; angles 90.00, 90.00, 90.00 degrees
Space group P4/mbm (No. 127)
One atom of each set of equivalent atoms:
Ca  0.000  0.000  0.000 [2 per cell]
Al  0.117  0.383  0.000 [4 per cell]
Bi  0.175  0.675  0.500 [4 per cell]



Model 2:
Computed, not measured: CaAl2Bi2 after structural relaxation at the PBE-GGA level of DFT.

Properties
The value obtained for the total magnetization is 0.000 μB/atom.

Cell lengths 4.125, 4.125, 16.198 Å; angles 90.00, 90.00, 90.00 degrees
Space group I4/mmm (No. 139)
One atom of each set of equivalent atoms:
Ca  0.000  0.000  0.000 [2 per cell]
Al  0.000  0.500  0.250 [4 per cell]
Bi  0.000  0.000  0.396 [4 per cell]



Model 3:
Computed, not measured: CaAl2Bi2 after structural relaxation at the PBE-GGA level of DFT.

Properties
The value obtained for the total magnetization is 0.000 μB/atom.

Cell lengths 8.342, 8.342, 3.968 Å; angles 90.00, 90.00, 90.00 degrees
Space group P4/mbm (No. 127)
One atom of each set of equivalent atoms:
Ca  0.000  0.000  0.000 [2 per cell]
Al  0.136  0.364  0.500 [4 per cell]
Bi  0.153  0.653  0.000 [4 per cell]



Model 4:
Computed, not measured: CaAl2Bi2 after structural relaxation at the PBE-GGA level of DFT.

Properties
The value obtained for the total magnetization is 0.000 μB/atom.

Cell lengths 5.493, 5.493, 9.435 Å; angles 90.00, 90.00, 90.00 degrees
Space group I4/mmm (No. 139)
One atom of each set of equivalent atoms:
Ca  0.000  0.000  0.000 [2 per cell]
Al  0.000  0.000  0.364 [4 per cell]
Bi  0.000  0.500  0.250 [4 per cell]



Which of them is the least stable? Correct choice: model 3.